[1]
Density functional theory data (PBE) for a relaxed MnCdP crystal.

Computed properties:
Its raw total energy is -5.1067 eV per atom. The value obtained for the formation energy is 0.06 eV/atom. As for the space group: No. 156. The value obtained for the energy relative to the lowest polymorph listed for this composition is 68 meV per atom.

abc: 3.0899 3.0899 6.1546
angles: 90.00 90.00 120.00
Element x y z (fractional)
Mn1 0.0000 0.0000 0.0000
Cd1 0.6667 0.3333 0.6378
P1 0.3333 0.6667 0.2213



[2]
Density functional theory data (PBE) for a relaxed MnCdP crystal.

Computed properties:
Its raw total energy is -4.9434 eV per atom. The value obtained for the formation energy is 0.22 eV/atom. As for the space group: No. 216. The value obtained for the energy relative to the lowest polymorph listed for this composition is 231 meV per atom.

abc: 4.3054 4.3054 4.3054
angles: 60.00 60.00 60.00
Element x y z (fractional)
Mn1 0.0000 0.0000 0.0000
Cd1 0.2500 0.2500 0.2500
P1 0.7500 0.7500 0.7500



[3]
Density functional theory data (PBE) for a relaxed MnCd2P crystal.

Computed properties:
Its raw total energy is -3.9661 eV per atom. The value obtained for the formation energy is 0.14 eV/atom. As for the space group: No. 44.

abc: 5.9019 5.9019 5.9019
angles: 149.30 133.44 56.81
Element x y z (fractional)
Mn1 0.0000 0.0000 0.0000
Cd1 0.4651 0.4651 0.0000
Cd2 0.7617 0.2617 0.5000
P1 0.1570 0.6570 0.5000



[4]
Density functional theory data (PBE) for a relaxed MnCdP crystal.

Computed properties:
Its raw total energy is -5.1743 eV per atom. The value obtained for the formation energy is -0.01 eV/atom. As for the space group: No. 107. The value obtained for the energy relative to the lowest polymorph listed for this composition is 0 meV per atom.

abc: 5.4774 5.4774 5.4774
angles: 148.39 148.39 45.31
Element x y z (fractional)
Mn1 0.0000 0.0000 0.0000
Cd1 0.2977 0.2977 0.0000
P1 0.5843 0.5843 0.0000